Entry from Alexandria: a relaxed structure of La7Tb12Nd (PBE-GGA).

DOS(E_F) ... 38.54 states/eV/f.u.
V ... 697.4 Å³/f.u.
DFT formation energy ... 0.217 eV/atom
Space-group type ... R-3 (148)
Crystal system ... trigonal

a = 8.884 Å, b = 8.884 Å, c = 8.884 Å
α = 86.47°, β = 86.47°, γ = 86.47°
Element x y z (fractional)
La  0.000  0.000  0.000
La  0.105  0.418  0.338
La  0.338  0.105  0.418
La  0.418  0.338  0.105
La  0.582  0.662  0.895
La  0.662  0.895  0.582
La  0.895  0.582  0.662
Tb  0.004  0.881  0.366
Tb  0.119  0.634  0.996
Tb  0.224  0.355  0.755
Tb  0.245  0.776  0.645
Tb  0.355  0.755  0.224
Tb  0.366  0.004  0.881
Tb  0.634  0.996  0.119
Tb  0.645  0.245  0.776
Tb  0.755  0.224  0.355
Tb  0.776  0.645  0.245
Tb  0.881  0.366  0.004
Tb  0.996  0.119  0.634
Nd  0.500  0.500  0.500



Entry from Alexandria: a relaxed structure of YHoSiRh (PBE-GGA).

DOS(E_F) ... 2.71 states/eV/f.u.
Raw formation energy ... -0.86 eV/atom
V ... 87.1 Å³/f.u.
Space-group type ... Amm2 (38)
Crystal system ... orthorhombic

a = 3.989 Å, b = 5.685 Å, c = 5.685 Å
α = 42.53°, β = 90.00°, γ = 90.00°
Element x y z (fractional)
Y  0.000  0.000  0.000
Ho  0.500  0.282  0.282
Si  0.500  0.573  0.573
Rh  0.000  0.718  0.718



Entry from Alexandria: a relaxed structure of SrPr2PuSe4 (PBE-GGA).

DOS(E_F) ... 12.48 states/eV/f.u.
Raw formation energy ... -1.80 eV/atom
V ... 221.2 Å³/f.u.
Space-group type ... P2/m (10)
Crystal system ... monoclinic

a = 7.406 Å, b = 4.257 Å, c = 7.433 Å
α = 90.00°, β = 109.30°, γ = 90.00°
Element x y z (fractional)
Sr  0.000  0.000  0.000
Pr  0.000  0.500  0.500
Pr  0.500  0.000  0.500
Pu  0.500  0.500  0.000
Se  0.256  0.500  0.251
Se  0.258  0.000  0.755
Se  0.742  0.000  0.245
Se  0.744  0.500  0.749



Entry from Alexandria: a relaxed structure of InSb2TeMo (PBE-GGA).

DOS(E_F) ... 4.05 states/eV/f.u.
Raw formation energy ... 1.38 eV/atom
Excess energy over the best structure of this formula in the dataset ... 962.7 meV per atom
V ... 171.9 Å³/f.u.
Space-group type ... P4/mmm (123)
Crystal system ... tetragonal

a = 5.521 Å, b = 5.521 Å, c = 5.639 Å
α = 90.00°, β = 90.00°, γ = 90.00°
Element x y z (fractional)
In  0.000  0.000  0.000
Sb  0.000  0.500  0.000
Sb  0.500  0.000  0.000
Te  0.000  0.000  0.500
Mo  0.500  0.500  0.500



Entry from Alexandria: a relaxed structure of Ca3TmPa3N8 (PBE-GGA).

Raw formation energy ... -1.43 eV/atom
V ... 244.6 Å³/f.u.
Space-group type ... R-3m (166)
Crystal system ... trigonal

a = 6.994 Å, b = 6.994 Å, c = 6.994 Å
α = 60.48°, β = 60.48°, γ = 60.48°
Element x y z (fractional)
Ca  0.000  0.500  0.500
Ca  0.500  0.000  0.500
Ca  0.500  0.500  0.000
Tm  0.500  0.500  0.500
Pa  0.000  0.000  0.500
Pa  0.000  0.500  0.000
Pa  0.500  0.000  0.000
N  0.227  0.734  0.734
N  0.242  0.242  0.242
N  0.266  0.266  0.773
N  0.266  0.773  0.266
N  0.734  0.227  0.734
N  0.734  0.734  0.227
N  0.758  0.758  0.758
N  0.773  0.266  0.266



Entry from Alexandria: a relaxed structure of ScRe3 (PBE-GGA).

DOS(E_F) ... 2.71 states/eV/f.u.
Excess energy over the best structure of this formula in the dataset ... 33.4 meV per atom
V ... 63.2 Å³/f.u.
DFT formation energy ... -0.043 eV/atom
Space-group type ... Immm (71)
Crystal system ... orthorhombic

a = 5.280 Å, b = 5.280 Å, c = 5.280 Å
α = 145.58°, β = 129.78°, γ = 62.31°
Element x y z (fractional)
Sc  0.000  0.000  0.000
Re  0.258  0.758  0.500
Re  0.500  0.500  0.000
Re  0.742  0.242  0.500



Entry from Alexandria: a relaxed structure of HfZrNi2 (PBE-GGA).

DOS(E_F) ... 4.38 states/eV/f.u.
V ... 65.4 Å³/f.u.
DFT formation energy ... -0.400 eV/atom
Space-group type ... P4/mmm (123)
Crystal system ... tetragonal

a = 3.186 Å, b = 3.186 Å, c = 6.449 Å
α = 90.00°, β = 90.00°, γ = 90.00°
Element x y z (fractional)
Hf  0.000  0.000  0.000
Zr  0.000  0.000  0.500
Ni  0.500  0.500  0.234
Ni  0.500  0.500  0.766



Entry from Alexandria: a relaxed structure of RbNi2Sn2 (PBE-GGA).

DOS(E_F) ... 3.92 states/eV/f.u.
Excess energy over the best structure of this formula in the dataset ... 45.9 meV per atom
V ... 107.5 Å³/f.u.
DFT formation energy ... 0.135 eV/atom
Space-group type ... P4/mbm (127)
Crystal system ... tetragonal

a = 8.359 Å, b = 8.359 Å, c = 3.078 Å
α = 90.00°, β = 90.00°, γ = 90.00°
Element x y z (fractional)
Rb  0.000  0.000  0.000
Rb  0.500  0.500  0.000
Ni  0.122  0.378  0.000
Ni  0.378  0.878  0.000
Ni  0.622  0.122  0.000
Ni  0.878  0.622  0.000
Sn  0.143  0.643  0.500
Sn  0.357  0.143  0.500
Sn  0.643  0.857  0.500
Sn  0.857  0.357  0.500



Entry from Alexandria: a relaxed structure of AuBr2Cl (PBE-GGA).

DOS(E_F) ... 0.36 states/eV/f.u.
Raw formation energy ... -0.02 eV/atom
Excess energy over the best structure of this formula in the dataset ... 153.3 meV per atom
V ... 133.1 Å³/f.u.
Space-group type ... Cmmm (65)
Crystal system ... orthorhombic

a = 4.813 Å, b = 4.813 Å, c = 7.918 Å
α = 90.00°, β = 90.00°, γ = 133.47°
Element x y z (fractional)
Au  0.000  0.000  0.000
Br  0.500  0.500  0.215
Br  0.500  0.500  0.785
Cl  0.000  0.000  0.500



Entry from Alexandria: a relaxed structure of Mn2AlHg (PBE-GGA).

DOS(E_F) ... 2.58 states/eV/f.u.
Excess energy over the best structure of this formula in the dataset ... 101.7 meV per atom
V ... 64.3 Å³/f.u.
DFT formation energy ... 0.205 eV/atom
Space-group type ... Fm-3m (225)
Crystal system ... cubic

a = 4.497 Å, b = 4.497 Å, c = 4.497 Å
α = 60.00°, β = 60.00°, γ = 60.00°
Element x y z (fractional)
Mn  0.250  0.250  0.250
Mn  0.750  0.750  0.750
Al  0.000  0.000  0.000
Hg  0.500  0.500  0.500



Entry from Alexandria: a relaxed structure of Tl2HgPb3 (PBE-GGA).

DOS(E_F) ... 4.37 states/eV/f.u.
Excess energy over the best structure of this formula in the dataset ... 116.4 meV per atom
V ... 201.6 Å³/f.u.
DFT formation energy ... 0.142 eV/atom
Space-group type ... Cmcm (63)
Crystal system ... orthorhombic

a = 8.137 Å, b = 8.137 Å, c = 7.034 Å
α = 90.00°, β = 90.00°, γ = 59.98°
Element x y z (fractional)
Tl  0.022  0.335  0.250
Tl  0.335  0.022  0.750
Tl  0.665  0.978  0.250
Tl  0.978  0.665  0.750
Hg  0.310  0.690  0.250
Hg  0.690  0.310  0.750
Pb  0.000  0.000  0.000
Pb  0.000  0.000  0.500
Pb  0.357  0.357  0.000
Pb  0.357  0.357  0.500
Pb  0.643  0.643  0.000
Pb  0.643  0.643  0.500



Entry from Alexandria: a relaxed structure of Tb6Nd4Ho (PBE-GGA).

DOS(E_F) ... 13.62 states/eV/f.u.
V ... 390.2 Å³/f.u.
DFT formation energy ... 0.430 eV/atom
Space-group type ... I-42m (121)
Crystal system ... tetragonal

a = 8.567 Å, b = 8.567 Å, c = 8.567 Å
α = 126.81°, β = 126.81°, γ = 78.57°
Element x y z (fractional)
Tb  0.000  0.500  0.500
Tb  0.052  0.579  0.000
Tb  0.421  0.421  0.473
Tb  0.500  0.000  0.500
Tb  0.579  0.052  0.000
Tb  0.948  0.948  0.527
Nd  0.248  0.248  0.650
Nd  0.402  0.752  0.000
Nd  0.598  0.598  0.350
Nd  0.752  0.402  0.000
Ho  0.000  0.000  0.000



Entry from Alexandria: a relaxed structure of TlSi3Cl (PBE-GGA).

DOS(E_F) ... 8.50 states/eV/f.u.
Raw formation energy ... 1.38 eV/atom
Excess energy over the best structure of this formula in the dataset ... 336.7 meV per atom
V ... 154.6 Å³/f.u.
Space-group type ... Pm-3m (221)
Crystal system ... cubic

a = 5.366 Å, b = 5.366 Å, c = 5.366 Å
α = 90.00°, β = 90.00°, γ = 90.00°
Element x y z (fractional)
Tl  0.000  0.000  0.000
Si  0.000  0.000  0.500
Si  0.000  0.500  0.000
Si  0.500  0.000  0.000
Cl  0.500  0.500  0.500



Entry from Alexandria: a relaxed structure of Sm5HgRu (PBE-GGA).

DOS(E_F) ... 7.01 states/eV/f.u.
V ... 205.7 Å³/f.u.
DFT formation energy ... -0.156 eV/atom
Space-group type ... C2/c (15)
Crystal system ... monoclinic

a = 6.094 Å, b = 6.094 Å, c = 11.955 Å
α = 103.30°, β = 103.30°, γ = 75.64°
Element x y z (fractional)
Sm  0.009  0.991  0.750
Sm  0.079  0.416  0.128
Sm  0.209  0.548  0.440
Sm  0.416  0.079  0.628
Sm  0.452  0.791  0.060
Sm  0.548  0.209  0.940
Sm  0.584  0.921  0.372
Sm  0.791  0.452  0.560
Sm  0.921  0.584  0.872
Sm  0.991  0.009  0.250
Hg  0.419  0.581  0.750
Hg  0.581  0.419  0.250
Ru  0.000  0.000  0.000
Ru  0.000  0.000  0.500



Entry from Alexandria: a relaxed structure of Pm2SBr2O (PBE-GGA).

DOS(E_F) ... 0.00 states/eV/f.u.
Raw formation energy ... -2.39 eV/atom
V ... 167.2 Å³/f.u.
Space-group type ... Pmc2_1 (26)
Crystal system ... orthorhombic

a = 4.007 Å, b = 11.564 Å, c = 7.218 Å
α = 90.00°, β = 90.00°, γ = 90.00°
Element x y z (fractional)
Pm  0.000  0.064  0.000
Pm  0.000  0.936  0.500
Pm  0.500  0.218  0.403
Pm  0.500  0.782  0.903
S  0.500  0.059  0.694
S  0.500  0.941  0.194
Br  0.000  0.384  0.538
Br  0.000  0.616  0.038
Br  0.500  0.269  0.012
Br  0.500  0.731  0.512
O  0.000  0.121  0.333
O  0.000  0.879  0.833



Entry from Alexandria: a relaxed structure of RbGe3Au3 (PBE-GGA).

DOS(E_F) ... 5.99 states/eV/f.u.
Excess energy over the best structure of this formula in the dataset ... 60.1 meV per atom
V ... 209.9 Å³/f.u.
DFT formation energy ... 0.009 eV/atom
Space-group type ... R-3 (148)
Crystal system ... trigonal

a = 9.393 Å, b = 9.393 Å, c = 9.393 Å
α = 48.04°, β = 48.04°, γ = 48.04°
Element x y z (fractional)
Rb  0.167  0.167  0.167
Rb  0.833  0.833  0.833
Ge  0.064  0.385  0.711
Ge  0.289  0.936  0.615
Ge  0.385  0.711  0.064
Ge  0.615  0.289  0.936
Ge  0.711  0.064  0.385
Ge  0.936  0.615  0.289
Au  0.043  0.727  0.387
Au  0.273  0.613  0.957
Au  0.387  0.043  0.727
Au  0.613  0.957  0.273
Au  0.727  0.387  0.043
Au  0.957  0.273  0.613



Entry from Alexandria: a relaxed structure of Fe2AgPt (PBE-GGA).

DOS(E_F) ... 5.54 states/eV/f.u.
V ... 58.0 Å³/f.u.
DFT formation energy ... 0.138 eV/atom
Space-group type ... I-4m2 (119)
Crystal system ... tetragonal

a = 4.752 Å, b = 4.752 Å, c = 4.752 Å
α = 132.05°, β = 132.05°, γ = 70.16°
Element x y z (fractional)
Fe  0.000  0.000  0.000
Fe  0.750  0.250  0.500
Ag  0.500  0.500  0.000
Pt  0.250  0.750  0.500



Entry from Alexandria: a relaxed structure of Mn2PBr (PBE-GGA).

DOS(E_F) ... 2.58 states/eV/f.u.
Raw formation energy ... 0.33 eV/atom
Excess energy over the best structure of this formula in the dataset ... 504.0 meV per atom
V ... 78.2 Å³/f.u.
Space-group type ... Pmmm (47)
Crystal system ... orthorhombic

a = 3.337 Å, b = 3.913 Å, c = 5.986 Å
α = 90.00°, β = 90.00°, γ = 90.00°
Element x y z (fractional)
Mn  0.000  0.000  0.000
Mn  0.000  0.500  0.500
P  0.500  0.000  0.500
Br  0.500  0.500  0.000



Entry from Alexandria: a relaxed structure of Pm2InI (PBE-GGA).

DOS(E_F) ... 2.04 states/eV/f.u.
Raw formation energy ... -0.64 eV/atom
Excess energy over the best structure of this formula in the dataset ... 0.0 meV per atom
V ... 125.0 Å³/f.u.
Space-group type ... R3m (160)
Crystal system ... trigonal

a = 9.664 Å, b = 9.664 Å, c = 9.664 Å
α = 23.40°, β = 23.40°, γ = 23.40°
Element x y z (fractional)
Pm  0.000  0.000  0.000
Pm  0.170  0.170  0.170
In  0.585  0.585  0.585
I  0.418  0.418  0.418



Entry from Alexandria: a relaxed structure of Ti2ReSiTc (PBE-GGA).

DOS(E_F) ... 5.54 states/eV/f.u.
Raw formation energy ... 0.97 eV/atom
V ... 94.2 Å³/f.u.
Space-group type ... P4/mmm (123)
Crystal system ... tetragonal

a = 4.591 Å, b = 4.591 Å, c = 4.471 Å
α = 90.00°, β = 90.00°, γ = 90.00°
Element x y z (fractional)
Ti  0.000  0.500  0.000
Ti  0.500  0.000  0.000
Re  0.000  0.000  0.500
Si  0.500  0.500  0.500
Tc  0.500  0.500  0.000



no.,total magnetization (μB per cell)
1,0.0
2,0.0
3,5.9
4,3.5
5,0.0
6,0.0
7,0.0
8,0.0
9,0.0
10,6.7
11,0.0
12,0.0
13,0.0
14,0.0
15,0.0
16,0.0
17,6.1
18,8.8
19,0.0
20,1.4